Entry from the Alexandria database: Ta2MnSe4S2 after structural relaxation (PBE).

Lattice parameters (Å, degrees): 3.368 3.368 20.724 90.00 90.00 120.00
Positions (direct):
Ta (0.000, 0.000, 0.000)
Ta (0.333, 0.667, 0.343)
Mn (0.333, 0.667, 0.686)
Se (0.000, 0.000, 0.261)
Se (0.000, 0.000, 0.426)
Se (0.333, 0.667, 0.083)
Se (0.333, 0.667, 0.917)
S (0.000, 0.000, 0.623)
S (0.000, 0.000, 0.750)

Values from the calculation:
Its raw formation energy is -0.61 eV per atom. As for the space group: No. 156. The volume comes out at 203.64 Å³/cell.